GGA-PBEsol SiSbTe2N, relaxed; energy relative to the elements, uncorrected = 1.03 eV per atom; SG = P4/mmm; excess energy over the best structure of this formula in the dataset = 0 meV per atom
1.0
5.710 0.000 0.000
0.000 5.710 0.000
0.000 0.000 3.880
Si Sb Te N
1 1 2 1
direct
0.000 0.000 0.000
0.500 0.500 0.500
0.000 0.500 0.500
0.500 0.000 0.500
0.500 0.500 0.000

---

GGA-PBEsol SiSbTe2N, relaxed; energy relative to the elements, uncorrected = 1.50 eV per atom; SG = P4/mmm; excess energy over the best structure of this formula in the dataset = 472 meV per atom
1.0
5.240 0.000 0.000
0.000 5.240 0.000
0.000 0.000 5.127
Si Sb Te N
1 1 2 1
direct
0.000 0.000 0.000
0.000 0.000 0.500
0.000 0.500 0.000
0.500 0.000 0.000
0.500 0.500 0.500

---

GGA-PBEsol SnSb3N, relaxed; energy relative to the elements, uncorrected = 0.41 eV per atom; SG = Pm-3m
1.0
4.781 0.000 0.000
0.000 4.781 0.000
0.000 0.000 4.781
Sn Sb N
1 3 1
direct
0.000 0.000 0.000
0.000 0.500 0.500
0.500 0.000 0.500
0.500 0.500 0.000
0.500 0.500 0.500

---

GGA-PBEsol SrSbN3, relaxed; energy relative to the elements, uncorrected = 2.06 eV per atom; SG = Pm-3m
1.0
4.349 0.000 0.000
0.000 4.349 0.000
0.000 0.000 4.349
Sr Sb N
1 1 3
direct
0.000 0.000 0.000
0.500 0.500 0.500
0.000 0.000 0.500
0.000 0.500 0.000
0.500 0.000 0.000

---

GGA-PBEsol TaSbN2, relaxed; energy relative to the elements, uncorrected = -0.21 eV per atom; SG = I-42d
1.0
5.376 0.000 0.000
0.000 5.376 0.000
0.000 0.000 9.316
Ta Sb N
4 4 8
direct
0.000 0.000 0.000
0.000 0.500 0.250
0.500 0.000 0.750
0.500 0.500 0.500
0.000 0.000 0.500
0.000 0.500 0.750
0.500 0.000 0.250
0.500 0.500 0.000
0.145 0.250 0.125
0.250 0.645 0.375
0.250 0.855 0.875
0.355 0.250 0.625
0.645 0.750 0.625
0.750 0.145 0.875
0.750 0.355 0.375
0.855 0.750 0.125

---

GGA-PBEsol TcSbN2, relaxed; energy relative to the elements, uncorrected = 0.36 eV per atom; SG = I-42d
1.0
5.147 0.000 0.000
0.000 5.147 0.000
0.000 0.000 9.050
Tc Sb N
4 4 8
direct
0.000 0.000 0.000
0.000 0.500 0.250
0.500 0.000 0.750
0.500 0.500 0.500
0.000 0.000 0.500
0.000 0.500 0.750
0.500 0.000 0.250
0.500 0.500 0.000
0.155 0.250 0.125
0.250 0.655 0.375
0.250 0.845 0.875
0.345 0.250 0.625
0.655 0.750 0.625
0.750 0.155 0.875
0.750 0.345 0.375
0.845 0.750 0.125

---

GGA-PBEsol SbTe2N2, relaxed; energy relative to the elements, uncorrected = 1.34 eV per atom; SG = P4/mmm; excess energy over the best structure of this formula in the dataset = 7 meV per atom
1.0
4.641 0.000 0.000
0.000 4.641 0.000
0.000 0.000 4.191
Sb Te N
1 2 2
direct
0.000 0.000 0.000
0.000 0.500 0.500
0.500 0.000 0.500
0.500 0.500 0.000
0.500 0.500 0.500

---

GGA-PBEsol SbTe2N2, relaxed; energy relative to the elements, uncorrected = 1.34 eV per atom; SG = P4/mmm; excess energy over the best structure of this formula in the dataset = 0 meV per atom
1.0
4.170 0.000 0.000
0.000 4.170 0.000
0.000 0.000 5.788
Sb Te N
1 2 2
direct
0.000 0.000 0.000
0.500 0.500 0.000
0.500 0.500 0.500
0.000 0.500 0.500
0.500 0.000 0.500

---

GGA-PBEsol TlSbTe2N, relaxed; energy relative to the elements, uncorrected = 1.77 eV per atom; SG = P4/mmm
1.0
5.732 0.000 0.000
0.000 5.732 0.000
0.000 0.000 5.703
Tl Sb Te N
1 1 2 1
direct
0.000 0.000 0.000
0.000 0.000 0.500
0.000 0.500 0.000
0.500 0.000 0.000
0.500 0.500 0.500

---

GGA-PBEsol Th2SbN2, relaxed; energy relative to the elements, uncorrected = -1.61 eV per atom; SG = I4/mmm
1.0
4.014 0.000 0.000
0.000 4.014 0.000
0.000 0.000 13.639
Th Sb N
4 2 4
direct
0.000 0.000 0.165
0.000 0.000 0.835
0.500 0.500 0.335
0.500 0.500 0.665
0.000 0.000 0.500
0.500 0.500 0.000
0.000 0.500 0.250
0.000 0.500 0.750
0.500 0.000 0.250
0.500 0.000 0.750

---

GGA-PBEsol TlSbN2, relaxed; energy relative to the elements, uncorrected = 0.55 eV per atom; SG = I-42d
1.0
6.061 0.000 0.000
0.000 6.061 0.000
0.000 0.000 7.860
Tl Sb N
4 4 8
direct
0.000 0.000 0.000
0.000 0.500 0.250
0.500 0.000 0.750
0.500 0.500 0.500
0.000 0.000 0.500
0.000 0.500 0.750
0.500 0.000 0.250
0.500 0.500 0.000
0.145 0.750 0.625
0.250 0.145 0.375
0.250 0.355 0.875
0.355 0.750 0.125
0.645 0.250 0.125
0.750 0.645 0.875
0.750 0.855 0.375
0.855 0.250 0.625

---

GGA-PBEsol U2SbN2, relaxed; energy relative to the elements, uncorrected = -1.23 eV per atom; SG = I4/mmm
1.0
3.814 0.000 0.000
0.000 3.814 0.000
0.000 0.000 12.082
U Sb N
4 2 4
direct
0.000 0.000 0.155
0.000 0.000 0.845
0.500 0.500 0.345
0.500 0.500 0.655
0.000 0.000 0.500
0.500 0.500 0.000
0.000 0.500 0.250
0.000 0.500 0.750
0.500 0.000 0.250
0.500 0.000 0.750